Entry 1:
Computed, not measured: crystalline KTl2P at its relaxed geometry at the PBE-GGA level of DFT.

abc: 4.156 5.963 5.966
angles: 65.41 90.00 90.00
Atoms (fractional coordinates):
Tl: 0.000 0.565 0.565
Tl: 0.000 0.935 0.935
P: 0.500 0.750 0.750
K: 0.500 0.250 0.250

**Energy above the lowest structure with this stoichiometry**: 0 meV/atom

Entry 2:
Computed, not measured: crystalline K2TlP at its relaxed geometry at the PBE-GGA level of DFT.

abc: 4.771 3.389 8.432
angles: 66.23 90.00 90.00
Atoms (fractional coordinates):
K: 0.000 0.957 0.044
K: 0.000 0.543 0.456
P: 0.500 0.250 0.250
Tl: 0.500 0.750 0.750

**Energy above the lowest structure with this stoichiometry**: 274 meV/atom

Entry 3:
Computed, not measured: crystalline K2TlP at its relaxed geometry at the PBE-GGA level of DFT.

abc: 4.976 4.976 4.969
angles: 90.00 90.00 80.95
Atoms (fractional coordinates):
P: 0.500 0.000 0.500
K: 0.000 0.000 0.000
K: 0.500 0.500 0.000
Tl: 0.000 0.500 0.500

**Energy above the lowest structure with this stoichiometry**: 258 meV/atom

Entry 4:
Computed, not measured: crystalline KTl2P at its relaxed geometry at the PBE-GGA level of DFT.

abc: 4.962 4.753 4.753
angles: 90.00 90.00 90.00
Atoms (fractional coordinates):
P: 0.500 0.000 0.500
Tl: 0.000 0.500 0.500
Tl: 0.000 0.000 0.000
K: 0.500 0.500 0.000

**Energy above the lowest structure with this stoichiometry**: 218 meV/atom

Entry 5:
Computed, not measured: crystalline KTl2P at its relaxed geometry at the PBE-GGA level of DFT.

abc: 5.454 5.454 5.454
angles: 60.00 60.00 60.00
Atoms (fractional coordinates):
K: 0.500 0.500 0.500
Tl: 0.750 0.750 0.750
Tl: 0.250 0.250 0.250
P: 0.000 0.000 0.000

**Energy above the lowest structure with this stoichiometry**: 173 meV/atom

Entry 6:
Computed, not measured: crystalline KTl2P at its relaxed geometry at the PBE-GGA level of DFT.

abc: 4.448 4.679 6.487
angles: 84.49 90.00 90.00
Atoms (fractional coordinates):
Tl: 0.500 0.336 0.109
Tl: 0.000 0.847 0.036
P: 0.500 0.898 0.780
K: 0.000 0.419 0.576

**Energy above the lowest structure with this stoichiometry**: 72 meV/atom

Entry 7:
Computed, not measured: crystalline KTl2P at its relaxed geometry at the PBE-GGA level of DFT.

abc: 5.475 5.475 5.475
angles: 60.00 60.00 60.00
Atoms (fractional coordinates):
K: 0.500 0.500 0.500
Tl: 0.000 0.000 0.000
Tl: 0.250 0.250 0.250
P: 0.750 0.750 0.750

**Energy above the lowest structure with this stoichiometry**: 198 meV/atom

Entry 8:
Computed, not measured: crystalline KTlVP2 at its relaxed geometry at the PBE-GGA level of DFT.

abc: 4.672 5.313 4.672
angles: 90.00 90.00 90.00
Atoms (fractional coordinates):
K: 0.500 0.500 0.500
Tl: 0.000 0.500 0.000
V: 0.000 0.000 0.000
P: 0.500 0.000 0.000
P: 0.000 0.000 0.500

Entry 9:
Computed, not measured: crystalline K2ZrTlP at its relaxed geometry at the PBE-GGA level of DFT.

abc: 6.260 5.275 6.260
angles: 90.00 90.00 90.00
Each line ends with the local moment (μB).
Atoms (fractional coordinates):
Zr: 0.500 0.500 0.500  1.62
P: 0.000 0.000 0.000  -0.04
K: 0.500 0.000 0.000  0.01
K: 0.000 0.000 0.500  0.01
Tl: 0.000 0.500 0.000  0.01

Entry 10:
Computed, not measured: crystalline KUP2 at its relaxed geometry at the PBE-GGA level of DFT.

abc: 4.108 4.108 7.911
angles: 74.95 74.95 60.00
Each line ends with the local moment (μB).
Atoms (fractional coordinates):
U: 0.668 0.668 0.997  1.15
P: 0.060 0.060 0.819  -0.06
P: 0.275 0.275 0.176  -0.06
K: 0.497 0.497 0.509  0.00

**Energy above the lowest structure with this stoichiometry**: 29 meV/atom

Entry 11:
Computed, not measured: crystalline KUP at its relaxed geometry at the PBE-GGA level of DFT.

abc: 3.956 15.574 13.980
angles: 165.83 90.00 97.30
Atoms (fractional coordinates):
P: 0.779 0.558 0.226
P: 0.221 0.442 0.774
U: 0.631 0.263 0.713
U: 0.369 0.737 0.287
K: 0.437 0.875 0.033
K: 0.563 0.125 0.967

Entry 12:
Computed, not measured: crystalline KUP2 at its relaxed geometry at the PBE-GGA level of DFT.

abc: 4.126 4.126 7.770
angles: 74.60 74.60 60.00
Each line ends with the local moment (μB).
Atoms (fractional coordinates):
K: 0.500 0.500 0.500  0.00
P: 0.274 0.274 0.179  -0.06
P: 0.726 0.726 0.821  -0.06
U: 0.000 0.000 0.000  1.15

**Energy above the lowest structure with this stoichiometry**: 0 meV/atom

Entry 13:
Computed, not measured: crystalline K2VP at its relaxed geometry at the PBE-GGA level of DFT.

abc: 12.339 12.339 9.032
angles: 46.92 46.92 90.00
Each line ends with the local moment (μB).
Atoms (fractional coordinates):
K: 0.440 0.125 0.250  0.01
K: 0.375 0.560 0.750  0.01
K: 0.875 0.690 0.750  0.01
K: 0.310 0.625 0.250  0.01
V: 0.000 0.000 0.000  2.69
V: 0.750 0.250 0.500  2.69
P: 0.250 0.750 0.500  -0.14
P: 0.500 0.500 0.000  -0.14

Entry 14:
Computed, not measured: crystalline KV2P2 at its relaxed geometry at the PBE-GGA level of DFT.

abc: 3.884 3.884 7.327
angles: 74.63 74.63 90.00
Atoms (fractional coordinates):
V: 0.750 0.250 0.500
V: 0.250 0.750 0.500
K: 0.000 0.000 0.000
P: 0.649 0.649 0.701
P: 0.351 0.351 0.299

Entry 15:
Computed, not measured: crystalline KVP2 at its relaxed geometry at the PBE-GGA level of DFT.

abc: 3.258 3.258 9.350
angles: 79.96 79.96 60.00
Atoms (fractional coordinates):
P: 0.889 0.889 0.332
P: 0.111 0.111 0.668
K: 0.000 0.000 0.000
V: 0.500 0.500 0.500

**Energy above the lowest structure with this stoichiometry**: 213 meV/atom

Entry 16:
Computed, not measured: crystalline KV2P at its relaxed geometry at the PBE-GGA level of DFT.

abc: 4.495 4.495 9.318
angles: 76.04 76.04 90.00
Atoms (fractional coordinates):
K: 0.000 0.000 0.000
K: 0.750 0.250 0.500
P: 0.500 0.500 0.000
P: 0.250 0.750 0.500
V: 0.382 0.125 0.250
V: 0.368 0.625 0.250
V: 0.875 0.632 0.750
V: 0.375 0.618 0.750

Entry 17:
Computed, not measured: crystalline KV3P at its relaxed geometry at the PBE-GGA level of DFT.

abc: 4.810 4.810 4.810
angles: 90.00 90.00 90.00
Each line ends with the local moment (μB).
Atoms (fractional coordinates):
V: 0.500 0.000 0.000  2.61
V: 0.000 0.500 0.000  2.61
V: 0.000 0.000 0.500  2.61
K: 0.500 0.500 0.500  0.09
P: 0.000 0.000 0.000  -0.13

**Energy above the lowest structure with this stoichiometry**: 0 meV/atom

Entry 18:
Computed, not measured: crystalline KV3P at its relaxed geometry at the PBE-GGA level of DFT.

abc: 4.264 4.264 4.264
angles: 90.00 90.00 90.00
Atoms (fractional coordinates):
V: 0.500 0.000 0.000
V: 0.000 0.000 0.500
V: 0.000 0.500 0.000
K: 0.000 0.000 0.000
P: 0.500 0.500 0.500

**Energy above the lowest structure with this stoichiometry**: 1718 meV/atom

Entry 19:
Computed, not measured: crystalline KVP2 at its relaxed geometry at the PBE-GGA level of DFT.

abc: 4.705 4.705 4.705
angles: 60.00 60.00 60.00
Each line ends with the local moment (μB).
Atoms (fractional coordinates):
P: 0.250 0.250 0.250  -0.01
P: 0.750 0.750 0.750  -0.01
K: 0.000 0.000 0.000  0.01
V: 0.500 0.500 0.500  2.32

**Energy above the lowest structure with this stoichiometry**: 720 meV/atom

Entry 20:
Computed, not measured: crystalline KVP3 at its relaxed geometry at the PBE-GGA level of DFT.

abc: 4.659 4.659 4.659
angles: 90.00 90.00 90.00
Atoms (fractional coordinates):
K: 0.500 0.500 0.500
P: 0.000 0.000 0.500
P: 0.500 0.000 0.000
P: 0.000 0.500 0.000
V: 0.000 0.000 0.000

no.,raw total energy (eV/atom),V (Å³/cell)
1,-2.92,134.4
2,-2.44,124.8
3,-2.45,121.5
4,-2.70,112.1
5,-2.75,114.7
6,-2.85,134.4
7,-2.72,116.0
8,-4.74,116.0
9,-2.85,206.8
10,-6.40,110.3
11,-6.22,180.2
12,-6.43,109.1
13,-4.02,355.8
14,-6.56,102.5
15,-5.33,84.2
16,-5.55,177.0
17,-5.98,111.3
18,-4.26,77.5
19,-4.82,73.6
20,-5.32,101.2